Record 1
Entry from Alexandria via LeMat-Bulk: a relaxed La5Dy2Ho2 crystal (PBE).

Results
Formation energy from the elements, eV per atom: 0.206
Distance to the lowest polymorph of the same formula, meV/atom: 178.4

```
La5Dy2Ho2
1.0
-3.695 10.849 2.654
-6.480 -1.764 -1.812
3.716 -6.730 6.611
Dy La Ho
4 10 4
Direct
0.000 0.076 0.000 Dy
0.500 0.576 0.000 Dy
0.255 0.354 0.500 Dy
0.745 0.854 0.500 Dy
0.223 0.169 0.899 La
0.176 0.669 0.899 La
0.006 0.142 0.500 La
0.630 0.732 0.711 La
0.994 0.642 0.500 La
0.419 0.521 0.289 La
0.777 0.270 0.101 La
0.824 0.770 0.101 La
0.370 0.021 0.289 La
0.581 0.232 0.711 La
0.622 0.166 0.259 Ho
0.863 0.407 0.741 Ho
0.137 0.666 0.259 Ho
0.378 0.907 0.741 Ho
```



Record 2
Entry from Alexandria via LeMat-Bulk: a relaxed LaDy7Ho2 crystal (PBE).

Results
Formation energy from the elements, eV per atom: 0.040
Distance to the lowest polymorph of the same formula, meV/atom: 0.0

```
LaDy7Ho2
1.0
5.294 -1.702 0.802
-2.970 7.212 -4.477
1.284 -0.605 9.989
La Dy Ho
1 7 2
Direct
0.000 0.000 0.000 La
0.198 0.598 0.801 Dy
0.704 0.105 0.802 Dy
0.146 0.934 0.576 Dy
0.854 0.066 0.424 Dy
0.802 0.402 0.199 Dy
0.500 0.500 0.000 Dy
0.296 0.895 0.198 Dy
0.641 0.427 0.572 Ho
0.359 0.573 0.428 Ho
```



Record 3
Entry from Alexandria via LeMat-Bulk: a relaxed LaDy4Ho15 crystal (PBE).

Results
Formation energy from the elements, eV per atom: 0.023

```
LaDy4Ho15
1.0
-4.450 1.107 2.012
0.276 -4.098 2.864
11.398 13.276 17.902
Dy Ho La
4 15 1
Direct
0.000 0.000 0.401 Dy
0.000 0.000 0.799 Dy
0.000 0.000 0.599 Dy
0.000 0.000 0.201 Dy
0.500 0.500 0.000 Ho
0.000 0.500 0.301 Ho
0.500 0.000 0.897 Ho
0.500 0.000 0.301 Ho
0.500 0.000 0.103 Ho
0.500 0.500 0.798 Ho
0.000 0.500 0.897 Ho
0.500 0.000 0.500 Ho
0.500 0.500 0.600 Ho
0.000 0.500 0.699 Ho
0.000 0.500 0.103 Ho
0.500 0.500 0.400 Ho
0.000 0.500 0.500 Ho
0.500 0.000 0.699 Ho
0.500 0.500 0.202 Ho
0.000 0.000 0.000 La
```



Record 4
Entry from Alexandria via LeMat-Bulk: a relaxed LaDyHo6 crystal (PBE).

Results
Formation energy from the elements, eV per atom: 0.029
Distance to the lowest polymorph of the same formula, meV/atom: 0.0

```
LaDyHo6
1.0
5.031 0.000 0.000
0.000 5.031 0.000
0.000 0.000 10.063
La Ho Dy
1 6 1
Direct
0.000 0.000 0.000 La
0.500 0.000 0.745 Ho
0.500 0.500 0.500 Ho
0.000 0.500 0.255 Ho
0.500 0.500 0.000 Ho
0.500 0.000 0.255 Ho
0.000 0.500 0.745 Ho
0.000 0.000 0.500 Dy
```



Record 5
Entry from Alexandria via LeMat-Bulk: a relaxed La9Dy4Ho crystal (PBE).

Results
Formation energy from the elements, eV per atom: 0.144

```
La9Dy4Ho
1.0
-5.745 -2.250 -9.749
-3.668 -8.403 4.100
-5.008 8.654 0.954
La Dy Ho
18 8 2
Direct
0.529 0.207 0.414 La
0.471 0.414 0.207 La
0.029 0.793 0.586 La
0.029 0.414 0.207 La
0.029 0.793 0.207 La
0.971 0.586 0.793 La
0.471 0.793 0.586 La
0.529 0.207 0.793 La
0.250 0.461 0.922 La
0.750 0.922 0.461 La
0.750 0.539 0.461 La
0.529 0.586 0.793 La
0.471 0.793 0.207 La
0.750 0.539 0.078 La
0.250 0.078 0.539 La
0.250 0.461 0.539 La
0.971 0.207 0.793 La
0.971 0.207 0.414 La
0.750 0.890 0.781 Dy
0.500 0.000 0.000 Dy
0.000 0.000 0.000 Dy
0.250 0.110 0.219 Dy
0.750 0.219 0.110 Dy
0.250 0.110 0.890 Dy
0.750 0.890 0.110 Dy
0.250 0.781 0.890 Dy
0.750 0.333 0.667 Ho
0.250 0.667 0.333 Ho
```



Record 6
Entry from Alexandria via LeMat-Bulk: a relaxed LaDy9Ho2 crystal (PBE).

Results
Formation energy from the elements, eV per atom: 0.034
Distance to the lowest polymorph of the same formula, meV/atom: 8.1

```
LaDy9Ho2
1.0
3.520 0.000 0.000
0.000 11.259 0.000
0.000 -5.630 9.751
Dy Ho La
9 2 1
Direct
0.000 0.500 0.500 Dy
0.500 0.821 0.642 Dy
0.500 0.358 0.179 Dy
0.000 0.500 0.000 Dy
0.500 0.179 0.358 Dy
0.500 0.821 0.179 Dy
0.000 0.000 0.500 Dy
0.500 0.179 0.821 Dy
0.500 0.642 0.821 Dy
0.000 0.667 0.333 Ho
0.000 0.333 0.667 Ho
0.000 0.000 0.000 La
```